DFT (PBE) results for crystalline KCoPAu at its relaxed geometry.

Density (g/cm3): 6.2

Unit cell a=3.8102 b=3.8102 c=11.9942 alpha=90.00 beta=90.00 gamma=90.00
Closest atoms and distances in Å follow each position.
Space group P4/nmm (No. 129, origin choice 2)
Unique sites:
K 0.2500 0.2500 0.2412 (multiplicity 2)  4 P 3.34, 4 Au 3.46, 4 Co 3.64
Co 0.2500 0.7500 0.5000 (multiplicity 2)  4 P 2.22
P 0.2500 0.2500 0.5943 (multiplicity 2)  4 Co 2.22
Au 0.2500 0.7500 0.0000 (multiplicity 2)  4 Au 2.69

---

DFT (PBE) results for crystalline KCoSbAu2 at its relaxed geometry.

E_form (uncorrected) (meV/atom): 256
Density (g/cm3): 7.1

Unit cell a=5.4222 b=5.4222 c=4.8705 alpha=90.00 beta=90.00 gamma=90.00
Closest atoms and distances in Å follow each position.
Space group P4/mmm (No. 123)
Unique sites:
K 0.0000 0.0000 0.0000 (multiplicity 1)  8 Au 3.64, 4 Co 3.83
Co 0.5000 0.5000 0.0000 (multiplicity 1)  2 Sb 2.44
Sb 0.5000 0.5000 0.5000 (multiplicity 1)  2 Co 2.44, 4 Au 2.71
Au 0.0000 0.5000 0.5000 (multiplicity 2)  2 Sb 2.71

---

DFT (PBE) results for crystalline KSrCo2Au at its relaxed geometry.

Density (g/cm3): 5.1

Unit cell a=5.0357 b=5.0357 c=5.6786 alpha=90.00 beta=90.00 gamma=90.00
Closest atoms and distances in Å follow each position.
Space group P4/mmm (No. 123)
Unique sites:
K 0.0000 0.0000 0.0000 (multiplicity 1)  4 Co 2.52
Sr 0.5000 0.5000 0.5000 (multiplicity 1)  4 Au 3.56, 8 Co 3.79
Co 0.0000 0.5000 0.0000 (multiplicity 2)  2 K 2.52
Au 0.0000 0.0000 0.5000 (multiplicity 1)  2 K 2.84

---

DFT (PBE) results for crystalline La4CoAu2 at its relaxed geometry.

Density (g/cm3): 8.1
Energy above the most stable polymorph in this dataset (eV per atom): 0.0973

Unit cell a=5.1240 b=5.1240 c=15.7791 alpha=90.00 beta=90.00 gamma=90.00
Closest atoms and distances in Å follow each position.
Space group I4/mmm (No. 139)
Unique sites:
La 0.0000 0.0000 0.1839 (multiplicity 4)  1 Co 2.90, 1 Au 2.94
La 0.0000 0.5000 0.0000 (multiplicity 4)  2 Co 2.56
Co 0.0000 0.0000 0.0000 (multiplicity 2)  4 La 2.56
Au 0.0000 0.0000 0.3705 (multiplicity 4)  5 La 2.94-3.28

---

DFT (PBE) results for crystalline LaCoAu2 at its relaxed geometry.

Density (g/cm3): 11.8

Unit cell a=3.5891 b=3.5891 c=6.4406 alpha=90.00 beta=90.00 gamma=90.00
Closest atoms and distances in Å follow each position.
Space group P4mm (No. 99)
Unique sites:
La 0.0000 0.0000 0.0000 (multiplicity 1)  5 Au 2.98-3.15, 4 Co 3.19
Co 0.5000 0.5000 0.6994 (multiplicity 1)  5 Au 2.64-2.75
Au 0.0000 0.0000 0.5369 (multiplicity 1)  4 Co 2.75, 1 La 2.98, 4 Au 3.00
Au 0.5000 0.5000 0.2892 (multiplicity 1)  1 Co 2.64

---

DFT (PBE) results for crystalline La8Co4Au at its relaxed geometry.

Density (g/cm3): 6.4

Unit cell a=13.6458 b=8.2214 c=9.8020 alpha=90.00 beta=133.54 gamma=90.00
Closest atoms and distances in Å follow each position.
Space group C2/m (No. 12)
Unique sites:
La 0.0595 0.2418 0.3329 (multiplicity 8)  3 Co 2.77-2.80
La 0.1894 0.0000 0.1591 (multiplicity 4)  3 Co 2.80-2.81, 1 Au 3.10
La 0.1908 0.5000 0.1668 (multiplicity 4)  3 Co 2.78-2.80
Co 0.0000 0.2521 0.0000 (multiplicity 4)  6 La 2.77-2.80
Co 0.2424 0.5000 0.4976 (multiplicity 4)  6 La 2.79-2.81
Au 0.0000 0.5000 0.5000 (multiplicity 2)  6 La 3.10-3.11, 2 Co 3.32

---

DFT (PBE) results for crystalline La6CoAu3 at its relaxed geometry.

Density (g/cm3): 8.0

Unit cell a=7.3461 b=7.8636 c=12.4249 alpha=90.00 beta=120.49 gamma=90.00
Closest atoms and distances in Å follow each position.
Space group P2_1/c (No. 14)
Unique sites:
La 0.0844 0.0501 0.2424 (multiplicity 4)  1 Co 2.78, 1 Au 3.11
La 0.2299 0.6889 0.0816 (multiplicity 4)  1 Co 2.85, 2 Au 3.04-3.15
La 0.3551 0.1675 0.0602 (multiplicity 4)  1 Co 2.67
Co 0.0000 0.0000 0.0000 (multiplicity 2)  6 La 2.67-2.85
Au 0.3214 0.1103 0.7712 (multiplicity 4)  6 La 3.11-3.26
Au 0.5000 0.0000 0.5000 (multiplicity 2)  6 La 3.04-3.13

---

DFT (PBE) results for crystalline La12Co5Au at its relaxed geometry.

Density (g/cm3): 6.3

Unit cell a=6.9565 b=12.6740 c=12.9441 alpha=90.00 beta=90.66 gamma=90.00
Closest atoms and distances in Å follow each position.
Space group C2/m (No. 12)
Unique sites:
La 0.1293 0.0000 0.1224 (multiplicity 4)  2 Co 2.76, 1 Au 3.04
La 0.1598 0.5000 0.3848 (multiplicity 4)  3 Co 2.78-2.81
La 0.1620 0.1658 0.3893 (multiplicity 8)  3 Co 2.74-2.82
La 0.1727 0.3171 0.1195 (multiplicity 8)  2 Co 2.74-2.78, 1 Au 3.03
Co 0.0000 0.0000 0.5000 (multiplicity 2)  6 La 2.78-2.79
Co 0.0000 0.1646 0.0000 (multiplicity 4)  6 La 2.74-2.78
Co 0.0000 0.3344 0.5000 (multiplicity 4)  6 La 2.74-2.82
Au 0.0000 0.5000 0.0000 (multiplicity 2)  6 La 3.03-3.04

---

DFT (PBE) results for crystalline La8Co3Au at its relaxed geometry.

Density (g/cm3): 5.8

Unit cell a=17.0075 b=5.7933 c=9.0203 alpha=90.00 beta=108.43 gamma=90.00
Closest atoms and distances in Å follow each position.
Space group Cm (No. 8)
Unique sites:
La 0.0000 0.0000 0.0000 (multiplicity 2)  1 Co 2.43
La 0.0357 0.5000 0.2962 (multiplicity 2)  3 Co 2.87-2.91
La 0.1054 0.0000 0.6198 (multiplicity 2)  1 Co 2.53
La 0.2144 0.0000 0.3230 (multiplicity 2)  3 Co 2.70-2.91
La 0.2600 0.5000 0.6774 (multiplicity 2)  2 Co 2.90, 1 Au 3.02
La 0.3148 0.0000 0.9810 (multiplicity 2)  2 Co 2.56-2.72
La 0.3753 0.5000 0.2859 (multiplicity 2)  3 Co 2.90-2.92, 1 Au 3.10
La 0.4213 0.0000 0.6309 (multiplicity 2)  2 Co 2.85-3.00, 2 Au 2.90
Co 0.0468 0.0000 0.2836 (multiplicity 2)  1 La 2.43
Co 0.2600 0.0000 0.6626 (multiplicity 2)  2 La 2.53-2.72
Co 0.3642 0.0000 0.2798 (multiplicity 2)  2 La 2.56-2.70
Au 0.4319 0.5000 0.6476 (multiplicity 2)  6 La 2.90-3.10

---

DFT (PBE) results for crystalline LaCoAu2 at its relaxed geometry.

Density (g/cm3): 11.9

Unit cell a=6.9174 b=6.9174 c=6.9174 alpha=90.00 beta=90.00 gamma=90.00
Closest atoms and distances in Å follow each position.
Space group F-43m (No. 216)
Unique sites:
La 0.0000 0.0000 0.0000 (multiplicity 4)  4 Au 3.00, 4 Co 3.00
Co 0.2500 0.2500 0.7500 (multiplicity 4)  4 La 3.00, 4 Au 3.00
Au 0.0000 0.0000 0.5000 (multiplicity 4)  4 Co 3.00, 4 Au 3.00
Au 0.2500 0.2500 0.2500 (multiplicity 4)  4 Au 3.00, 4 La 3.00

---

DFT (PBE) results for crystalline La2CoAu at its relaxed geometry.

Density (g/cm3): 8.3

Unit cell a=3.6901 b=3.6901 c=7.8349 alpha=90.00 beta=90.00 gamma=90.00
Closest atoms and distances in Å follow each position.
Space group P4mm (No. 99)
Unique sites:
La 0.0000 0.0000 0.0000 (multiplicity 1)  1 Au 2.97, 4 Co 3.10
La 0.5000 0.5000 0.4187 (multiplicity 1)  1 Co 2.87, 4 Au 3.05
Co 0.5000 0.5000 0.7852 (multiplicity 1)  5 La 2.87-3.10, 4 Au 2.91
Au 0.0000 0.0000 0.6215 (multiplicity 1)  4 Co 2.91, 5 La 2.97-3.05

---

DFT (PBE) results for crystalline LaCo4Au at its relaxed geometry.

Density (g/cm3): 10.3

Unit cell a=7.1790 b=7.1790 c=7.1790 alpha=90.00 beta=90.00 gamma=90.00
Closest atoms and distances in Å follow each position.
Space group F-43m (No. 216)
Unique sites:
La 0.0000 0.0000 0.0000 (multiplicity 4)  12 Co 2.98, 4 Au 3.11
Co 0.1241 0.1241 0.3759 (multiplicity 16)  6 Co 2.52-2.56
Au 0.2500 0.2500 0.7500 (multiplicity 4)  12 Co 2.97, 4 La 3.11

---

no.,energy (eV per atom)
1,-4.666
2,-3.520
3,-2.692
4,-5.181
5,-4.789
6,-5.657
7,-5.145
8,-5.582
9,-5.423
10,-4.800
11,-5.146
12,-6.108